(1)
Rb2SrOsO6 after structural relaxation, computed with GGA-PBE.

Cell lengths 8.600, 8.600, 8.600 Å; angles 90.00, 90.00, 90.00 degrees
Space group Fm-3m (No. 225)
Symmetry-distinct sites (fractional):
Rb: 0.250 0.250 0.250 (multiplicity 8)
Sr: 0.000 0.000 0.000 (multiplicity 4)
Os: 0.000 0.000 0.500 (multiplicity 4)
O: 0.000 0.000 0.283 (multiplicity 24)

Results
total magnetization = 0.0 μB/f.u.
ρ = 5.7 g/cm3
volume = 15.90 Å³/atom
energy = -244.76 eV per cell

=====

(2)
LiBeCoMo after structural relaxation, computed with GGA-PBE.

Cell lengths 5.591, 5.591, 5.591 Å; angles 90.00, 90.00, 90.00 degrees
Space group F-43m (No. 216)
Symmetry-distinct sites (fractional):
Li: 0.000 0.000 0.000 (multiplicity 4)
Be: 0.000 0.000 0.500 (multiplicity 4)
Co: 0.250 0.250 0.750 (multiplicity 4)
Mo: 0.250 0.250 0.250 (multiplicity 4)

Results
relative energy among the computed polymorphs = 0.369 eV per atom
total magnetization = 0.4 μB/f.u.
ρ = 6.5 g/cm3
volume = 10.92 Å³/atom
energy = -88.04 eV per cell

=====

(3)
BeZnSiPd after structural relaxation, computed with GGA-PBE.

Cell lengths 5.962, 5.962, 5.962 Å; angles 90.00, 90.00, 90.00 degrees
Space group F-43m (No. 216)
Symmetry-distinct sites (fractional):
Be: 0.000 0.000 0.000 (multiplicity 4)
Zn: 0.250 0.250 0.750 (multiplicity 4)
Si: 0.250 0.250 0.250 (multiplicity 4)
Pd: 0.000 0.000 0.500 (multiplicity 4)

Results
relative energy among the computed polymorphs = 0.051 eV per atom
ρ = 6.5 g/cm3
volume = 13.25 Å³/atom
energy = -61.70 eV per cell

=====

(4)
DyTm4Lu2Te2Pd2 after structural relaxation, computed with GGA-PBE.

Cell lengths 3.902, 15.492, 9.506 Å; angles 90.00, 90.00, 90.00 degrees
Space group Imm2 (No. 44)
Symmetry-distinct sites (fractional):
Dy: 0.000 0.000 0.000 (multiplicity 2)
Tm: 0.000 0.130 0.583 (multiplicity 4)
Tm: 0.000 0.356 0.735 (multiplicity 4)
Lu: 0.000 0.317 0.374 (multiplicity 4)
Te: 0.000 0.000 0.339 (multiplicity 2)
Te: 0.000 0.500 0.234 (multiplicity 2)
Pd: 0.000 0.236 0.068 (multiplicity 4)

Results
total magnetization = 0.0 μB/f.u.
ρ = 9.6 g/cm3
volume = 26.12 Å³/atom
energy = -115.24 eV per cell

=====

(5)
PmSmIr4 after structural relaxation, computed with GGA-PBE.

Cell lengths 7.643, 7.643, 7.643 Å; angles 90.00, 90.00, 90.00 degrees
Space group F-43m (No. 216)
Symmetry-distinct sites (fractional):
Pm: 0.000 0.000 0.000 (multiplicity 4)
Sm: 0.250 0.250 0.250 (multiplicity 4)
Ir: 0.125 0.125 0.625 (multiplicity 16)

Results
total magnetization = 0.0 μB/f.u.
ρ = 15.8 g/cm3
volume = 18.60 Å³/atom
formation enthalpy at 0 K = -0.741 eV per atom
energy = -197.29 eV per cell

=====

(6)
Gd3Ga2NiSnIr2 after structural relaxation, computed with GGA-PBE.

Cell lengths 3.880, 12.632, 7.291 Å; angles 90.00, 90.00, 90.00 degrees
Space group Amm2 (No. 38)
Symmetry-distinct sites (fractional):
Gd: 0.000 0.000 0.000 (multiplicity 2)
Gd: 0.000 0.208 0.396 (multiplicity 4)
Ga: 0.500 0.125 0.725 (multiplicity 4)
Ni: 0.000 0.000 0.611 (multiplicity 2)
Sn: 0.500 0.000 0.359 (multiplicity 2)
Ir: 0.500 0.168 0.099 (multiplicity 4)

Results
total magnetization = 0.0 μB/f.u.
ρ = 10.9 g/cm3
volume = 19.85 Å³/atom
energy = -108.31 eV per cell

=====

(7)
Sc4Ta2Sb3C3 after structural relaxation, computed with GGA-PBE.

Cell lengths 10.082, 5.845, 14.306 Å; angles 90.00, 103.60, 90.00 degrees
Space group C2/c (No. 15)
Symmetry-distinct sites (fractional):
Sc: 0.112 0.075 0.087 (multiplicity 8)
Sc: 0.216 0.088 0.412 (multiplicity 8)
Ta: 0.062 0.413 0.922 (multiplicity 8)
Sb: 0.000 0.100 0.750 (multiplicity 4)
Sb: 0.160 0.425 0.249 (multiplicity 8)
C: 0.079 0.264 0.500 (multiplicity 8)
C: 0.250 0.250 0.000 (multiplicity 4)

Results
total magnetization = 0.0 μB/f.u.
ρ = 7.6 g/cm3
volume = 17.07 Å³/atom
energy = -387.67 eV per cell

=====

(8)
GdSiBO5 after structural relaxation, computed with GGA-PBE.

Cell lengths 6.6911, 6.6911, 6.5408 Å; angles 90.00, 90.00, 120.00 degrees
Space group P3_1 (No. 144)
Symmetry-distinct sites (fractional):
Gd: 0.0014 0.5810 0.0000 (multiplicity 3)
Si: 0.0014 0.5754 0.5036 (multiplicity 3)
B: 0.1183 0.0174 0.6371 (multiplicity 3)
O: 0.0743 0.0598 0.4305 (multiplicity 3)
O: 0.1416 0.8047 0.6554 (multiplicity 3)
O: 0.1504 0.5398 0.3289 (multiplicity 3)
O: 0.3590 0.1964 0.6944 (multiplicity 3)
O: 0.5171 0.1366 0.3391 (multiplicity 3)

Results
total magnetization = 0.0 μB/f.u.
ρ = 5.4 g/cm3
volume = 10.57 Å³/atom
energy = -195.94 eV per cell

=====

Question: What is the energy in the third record?
Answer: -61.70 eV per cell

=====

Question: What is the formula in the eighth record?
Answer: GdSiBO5